{
  "formula": "BiIrOs3",
  "functional": "PBE-GGA",
  "state": "relaxed",
  "lattice": [[-4.093, -0.649, 2.348], [-1.113, -3.586, -2.932], [2.167, -3.068, 2.929]],
  "species": ["Os", "Bi", "Os", "Os", "Ir"],
  "frac_coords": [[0.000, 0.500, 0.000], [0.500, 0.500, 0.500], [0.500, 0.000, 0.000], [0.000, 0.000, 0.500], [0.000, 0.000, 0.000]],
  "space_group": "No. 221",
  "volume_a3_per_atom": 21.6,
  "rho_g_cm3": 14.93,
  "crystal_system": "cubic",
  "e_above_lowest_polymorph_ev_per_fu": 0.000
}



{
  "formula": "RePt3",
  "functional": "PBE-GGA",
  "state": "relaxed",
  "lattice": [[-4.390, 2.417, -2.533], [-0.793, -3.584, 4.249], [0.199, 3.442, 2.940]],
  "species": ["Pt", "Pt", "Pt", "Pt", "Pt", "Re", "Re", "Pt"],
  "frac_coords": [[0.917, 0.083, 0.750], [0.911, 0.578, 0.750], [0.578, 0.911, 0.250], [0.422, 0.089, 0.750], [0.083, 0.917, 0.250], [0.416, 0.584, 0.750], [0.584, 0.416, 0.250], [0.089, 0.422, 0.250]],
  "space_group": "No. 63",
  "volume_a3_per_atom": 15.4,
  "rho_g_cm3": 20.79,
  "crystal_system": "orthorhombic"
}



no.,formation energy (eV/atom)
1,2.041
2,-0.004